{"formula": "Y2LuRh", "functional": "PBE-GGA", "state": "optimized geometry", "e_above_lowest_polymorph_mev_per_atom": 0, "volume_a3_per_cell": 105, "energy_ev_per_cell": -26.28, "formation_energy_ev_per_atom": -0.37, "space_group": "P4/mmm", "lattice_angstrom": [[3.508, 0.000, 0.000], [0.000, 3.508, 0.000], [0.000, 0.000, 8.510]], "species": ["Y", "Y", "Lu", "Rh"], "frac_coords": [[0.000, 0.000, 0.807], [0.000, 0.000, 0.193], [0.500, 0.500, 0.500], [0.500, 0.500, 0.000]]}